Entry A
# HoCuSnTe3

HoCuSnTe3 after structural relaxation (PBE-GGA, OQMD).

total magnetization: 0.00 Bohr magnetons per cell

Cell: 4.227 14.567 11.072 Å, 90.00 90.00 90.00°
Space group Cmcm (No. 63)
Symmetry-distinct sites (fractional):
Ho: 0.000 0.000 0.000 (multiplicity 4)
Cu: 0.000 0.469 0.250 (multiplicity 4)
Sn: 0.000 0.237 0.750 (multiplicity 4)
Te: 0.000 0.085 0.250 (multiplicity 4)
Te: 0.000 0.354 0.064 (multiplicity 8)

Entry B
# HoCuSnTe3

HoCuSnTe3 after structural relaxation (PBE-GGA, OQMD).

total magnetization: 0.01 Bohr magnetons per cell

Cell: 8.319 4.235 10.491 Å, 90.00 105.38 90.00°
Space group P2_1/m (No. 11)
Symmetry-distinct sites (fractional):
Ho: 0.196 0.250 0.168 (multiplicity 2)
Cu: 0.425 0.750 0.419 (multiplicity 2)
Sn: 0.252 0.750 0.700 (multiplicity 2)
Te: 0.078 0.250 0.861 (multiplicity 2)
Te: 0.241 0.250 0.464 (multiplicity 2)
Te: 0.457 0.750 0.171 (multiplicity 2)

Entry C
# HoCuSnTe3

HoCuSnTe3 after structural relaxation (PBE-GGA, OQMD).

total magnetization: 0.00 Bohr magnetons per cell

Cell: 8.876 4.443 17.188 Å, 90.00 90.00 90.00°
Space group Pnma (No. 62)
Symmetry-distinct sites (fractional):
Ho: 0.250 0.250 0.037 (multiplicity 4)
Cu: 0.125 0.250 0.371 (multiplicity 4)
Sn: 0.081 0.250 0.775 (multiplicity 4)
Te: 0.019 0.250 0.596 (multiplicity 4)
Te: 0.115 0.750 0.939 (multiplicity 4)
Te: 0.189 0.250 0.218 (multiplicity 4)

Least stable = entry C